i | VASP calculation (GGA-PBE) on an optimized crystal structure of RbCdPd.

Calculated volume: 94.6 Å³/cell
Space-group type: F-43m

The structure in POSCAR format:
```
RbCdPd
1.0
0.0000 3.6168 3.6168
3.6168 0.0000 3.6168
3.6168 3.6168 0.0000
Rb Cd Pd
1 1 1
direct
0.0000 0.0000 0.0000
0.5000 0.5000 0.5000
0.7500 0.7500 0.7500
```

=====

ii | VASP calculation (GGA-PBE) on an optimized crystal structure of RbCdPd.

Calculated volume: 113.1 Å³/cell
Space-group type: F-43m

The structure in POSCAR format:
```
RbCdPd
1.0
0.0000 3.8385 3.8385
3.8385 0.0000 3.8385
3.8385 3.8385 0.0000
Rb Cd Pd
1 1 1
direct
0.0000 0.0000 0.0000
0.7500 0.7500 0.7500
0.2500 0.2500 0.2500
```

=====

On energetic grounds, i is preferred over the next structure by 0.510 eV/atom.

=====

i | VASP calculation (GGA-PBE) on an optimized crystal structure of Pm2Cd.

Calculated volume: 183.7 Å³/cell
Space-group type: Fd-3m

The structure in POSCAR format:
```
Pm2Cd
1.0
0.0000 4.5119 4.5119
4.5119 0.0000 4.5119
4.5119 4.5119 0.0000
Pm Cd
4 2
direct
0.0000 0.0000 0.0000
0.0000 0.0000 0.5000
0.0000 0.5000 0.0000
0.5000 0.0000 0.0000
0.3750 0.3750 0.3750
0.6250 0.6250 0.6250
```

=====

ii | VASP calculation (GGA-PBE) on an optimized crystal structure of Pm2Cd.

Calculated volume: 587.7 Å³/cell
Space-group type: Fd-3m

The structure in POSCAR format:
```
Pm2Cd
1.0
0.0000 6.6481 6.6481
6.6481 0.0000 6.6481
6.6481 6.6481 0.0000
Pm Cd
4 2
direct
0.0000 0.0000 0.0000
0.0000 0.0000 0.5000
0.0000 0.5000 0.0000
0.5000 0.0000 0.0000
0.1250 0.1250 0.1250
0.8750 0.8750 0.8750
```

=====

On energetic grounds, i is preferred over the next structure by 1.333 eV/atom.

=====

i | VASP calculation (GGA-PBE) on an optimized crystal structure of PmCdSb.

Calculated volume: 92.1 Å³/cell
Space-group type: F-43m

The structure in POSCAR format:
```
PmCdSb
1.0
0.0000 3.5837 3.5837
3.5837 0.0000 3.5837
3.5837 3.5837 0.0000
Pm Cd Sb
1 1 1
direct
0.0000 0.0000 0.0000
0.5000 0.5000 0.5000
0.7500 0.7500 0.7500
```

=====

ii | VASP calculation (GGA-PBE) on an optimized crystal structure of PmCdSb.

Calculated volume: 98.0 Å³/cell
Space-group type: F-43m

The structure in POSCAR format:
```
PmCdSb
1.0
0.0000 3.6593 3.6593
3.6593 0.0000 3.6593
3.6593 3.6593 0.0000
Pm Cd Sb
1 1 1
direct
0.0000 0.0000 0.0000
0.7500 0.7500 0.7500
0.2500 0.2500 0.2500
```

=====

On energetic grounds, ii is preferred over the next structure by 0.120 eV/atom.

=====

i | VASP calculation (GGA-PBE) on an optimized crystal structure of PmScCd.

Calculated volume: 90.3 Å³/cell
Space-group type: F-43m

The structure in POSCAR format:
```
PmScCd
1.0
0.0000 3.5610 3.5610
3.5610 0.0000 3.5610
3.5610 3.5610 0.0000
Pm Sc Cd
1 1 1
direct
0.0000 0.0000 0.0000
0.2500 0.2500 0.2500
0.7500 0.7500 0.7500
```

=====

ii | VASP calculation (GGA-PBE) on an optimized crystal structure of PmScCd.

Calculated volume: 85.3 Å³/cell
Space-group type: F-43m

The structure in POSCAR format:
```
PmScCd
1.0
0.0000 3.4937 3.4937
3.4937 0.0000 3.4937
3.4937 3.4937 0.0000
Pm Sc Cd
1 1 1
direct
0.0000 0.0000 0.0000
0.7500 0.7500 0.7500
0.5000 0.5000 0.5000
```

=====

On energetic grounds, ii is preferred over the next structure by 0.150 eV/atom.

=====

i | VASP calculation (GGA-PBE) on an optimized crystal structure of PmCdSi.

Calculated volume: 83.7 Å³/cell
Space-group type: F-43m

The structure in POSCAR format:
```
PmCdSi
1.0
0.0000 3.4717 3.4717
3.4717 0.0000 3.4717
3.4717 3.4717 0.0000
Pm Cd Si
1 1 1
direct
0.0000 0.0000 0.0000
0.7500 0.7500 0.7500
0.2500 0.2500 0.2500
```

=====

ii | VASP calculation (GGA-PBE) on an optimized crystal structure of PmCdSi.

Calculated volume: 74.5 Å³/cell
Space-group type: F-43m

The structure in POSCAR format:
```
PmCdSi
1.0
0.0000 3.3392 3.3392
3.3392 0.0000 3.3392
3.3392 3.3392 0.0000
Pm Cd Si
1 1 1
direct
0.0000 0.0000 0.0000
0.5000 0.5000 0.5000
0.7500 0.7500 0.7500
```

=====

On energetic grounds, ii is preferred over the next structure by 0.395 eV/atom.

=====

i | VASP calculation (GGA-PBE) on an optimized crystal structure of PmZnCd.

Calculated volume: 84.8 Å³/cell
Space-group type: F-43m

The structure in POSCAR format:
```
PmZnCd
1.0
0.0000 3.4865 3.4865
3.4865 0.0000 3.4865
3.4865 3.4865 0.0000
Pm Zn Cd
1 1 1
direct
0.0000 0.0000 0.0000
0.2500 0.2500 0.2500
0.7500 0.7500 0.7500
```

=====

ii | VASP calculation (GGA-PBE) on an optimized crystal structure of PmZnCd.

Calculated volume: 76.0 Å³/cell
Space-group type: F-43m

The structure in POSCAR format:
```
PmZnCd
1.0
0.0000 3.3614 3.3614
3.3614 0.0000 3.3614
3.3614 3.3614 0.0000
Pm Zn Cd
1 1 1
direct
0.0000 0.0000 0.0000
0.7500 0.7500 0.7500
0.5000 0.5000 0.5000
```

=====

On energetic grounds, ii is preferred over the next structure by 0.364 eV/atom.

=====

i | VASP calculation (GGA-PBE) on an optimized crystal structure of RbPrCdS3.

Calculated volume: 726.2 Å³/cell
Space-group type: Pnma

The structure in POSCAR format:
```
RbPrCdS3
1.0
15.0112 0.0000 0.0000
0.0000 4.2640 0.0000
0.0000 0.0000 11.3448
Rb Pr Cd S
4 4 4 12
direct
0.2387 0.2500 0.0454
0.2613 0.7500 0.5454
0.7387 0.2500 0.4546
0.7613 0.7500 0.9546
0.0248 0.2500 0.3489
0.4752 0.7500 0.8489
0.5248 0.2500 0.1511
0.9752 0.7500 0.6511
0.0155 0.7500 0.1024
0.4845 0.2500 0.6024
0.5155 0.7500 0.3976
0.9845 0.2500 0.8976
0.0827 0.7500 0.8853
0.0901 0.2500 0.5774
0.1353 0.7500 0.2562
0.3647 0.2500 0.7562
0.4099 0.7500 0.0774
0.4173 0.2500 0.3853
0.5827 0.7500 0.6147
0.5901 0.2500 0.9226
0.6353 0.7500 0.2438
0.8647 0.2500 0.7438
0.9099 0.7500 0.4226
0.9173 0.2500 0.1147
```

=====

ii | VASP calculation (GGA-PBE) on an optimized crystal structure of RbPrCdS3.

Calculated volume: 331.5 Å³/cell
Space-group type: C2/m

The structure in POSCAR format:
```
RbPrCdS3
1.0
8.7863 -2.1294 0.0000
8.7863 2.1294 0.0000
-2.2160 0.0000 8.8580
Rb Pr Cd S
2 2 2 6
direct
0.1436 0.1436 0.0672
0.8564 0.8564 0.9328
0.1697 0.1697 0.5888
0.8303 0.8303 0.4112
0.4960 0.4960 0.2789
0.5040 0.5040 0.7211
0.0000 0.0000 0.5000
0.3364 0.3364 0.6297
0.3405 0.3405 0.2147
0.5000 0.5000 0.0000
0.6595 0.6595 0.7853
0.6636 0.6636 0.3703
```

=====

On energetic grounds, i is preferred over the next structure by 0.059 eV/atom.

=====

i | VASP calculation (GGA-PBE) on an optimized crystal structure of PrScCd.

Calculated volume: 85.8 Å³/cell
Space-group type: F-43m

The structure in POSCAR format:
```
PrScCd
1.0
0.0000 3.5011 3.5011
3.5011 0.0000 3.5011
3.5011 3.5011 0.0000
Pr Sc Cd
1 1 1
direct
0.0000 0.0000 0.0000
0.7500 0.7500 0.7500
0.5000 0.5000 0.5000
```

=====

ii | VASP calculation (GGA-PBE) on an optimized crystal structure of PrScCd.

Calculated volume: 92.8 Å³/cell
Space-group type: F-43m

The structure in POSCAR format:
```
PrScCd
1.0
0.0000 3.5934 3.5934
3.5934 0.0000 3.5934
3.5934 3.5934 0.0000
Pr Sc Cd
1 1 1
direct
0.0000 0.0000 0.0000
0.7500 0.7500 0.7500
0.2500 0.2500 0.2500
```

=====

On energetic grounds, i is preferred over the next structure by 0.180 eV/atom.

=====

i | VASP calculation (GGA-PBE) on an optimized crystal structure of PrSmCd2Sn2.

Calculated volume: 325.9 Å³/cell
Space-group type: P6_3/mmc

The structure in POSCAR format:
```
PrSmCd2Sn2
1.0
4.8100 0.0000 0.0000
-2.4050 4.1656 0.0000
0.0000 0.0000 16.2629
Pr Sm Cd Sn
2 2 4 4
direct
0.0000 0.0000 0.2500
0.0000 0.0000 0.7500
0.0000 0.0000 0.0000
0.0000 0.0000 0.5000
0.3333 0.6667 0.1511
0.3333 0.6667 0.3489
0.6667 0.3333 0.6511
0.6667 0.3333 0.8489
0.3333 0.6667 0.6069
0.3333 0.6667 0.8931
0.6667 0.3333 0.1069
0.6667 0.3333 0.3931
```

=====

ii | VASP calculation (GGA-PBE) on an optimized crystal structure of PrSmCd2Sn2.

Calculated volume: 326.2 Å³/cell
Space-group type: P6_3/mmc

The structure in POSCAR format:
```
PrSmCd2Sn2
1.0
4.7990 0.0000 0.0000
-2.3995 4.1561 0.0000
0.0000 0.0000 16.3555
Pr Sm Cd Sn
2 2 4 4
direct
0.0000 0.0000 0.0000
0.0000 0.0000 0.5000
0.0000 0.0000 0.2500
0.0000 0.0000 0.7500
0.3333 0.6667 0.1548
0.3333 0.6667 0.3452
0.6667 0.3333 0.6548
0.6667 0.3333 0.8452
0.3333 0.6667 0.6109
0.3333 0.6667 0.8891
0.6667 0.3333 0.1109
0.6667 0.3333 0.3891
```

=====

On energetic grounds, ii is preferred over the next structure by 0.008 eV/atom.

=====

i | VASP calculation (GGA-PBE) on an optimized crystal structure of PrZrCd.

Calculated volume: 92.9 Å³/cell
Space-group type: F-43m

The structure in POSCAR format:
```
PrZrCd
1.0
0.0000 3.5942 3.5942
3.5942 0.0000 3.5942
3.5942 3.5942 0.0000
Pr Zr Cd
1 1 1
direct
0.0000 0.0000 0.0000
0.2500 0.2500 0.2500
0.7500 0.7500 0.7500
```

=====

ii | VASP calculation (GGA-PBE) on an optimized crystal structure of PrZrCd.

Calculated volume: 88.9 Å³/cell
Space-group type: F-43m

The structure in POSCAR format:
```
PrZrCd
1.0
0.0000 3.5424 3.5424
3.5424 0.0000 3.5424
3.5424 3.5424 0.0000
Pr Zr Cd
1 1 1
direct
0.0000 0.0000 0.0000
0.7500 0.7500 0.7500
0.5000 0.5000 0.5000
```

=====

On energetic grounds, ii is preferred over the next structure by 0.227 eV/atom.

=====

i | VASP calculation (GGA-PBE) on an optimized crystal structure of CdPt15.

Calculated volume: 808.6 Å³/cell
Space-group type: P2_1/m

The structure in POSCAR format:
```
CdPt15
1.0
7.9102 0.0000 0.0000
0.0000 2.7897 0.0000
-0.0485 0.0000 36.6438
Cd Pt
2 30
direct
0.1251 0.2500 0.2967
0.8749 0.7500 0.7033
0.1179 0.2500 0.7459
0.1175 0.2500 0.8258
0.1236 0.2500 0.9035
0.1255 0.2500 0.1347
0.1246 0.2500 0.2150
0.1263 0.2500 0.0570
0.1265 0.2500 0.9803
0.3674 0.7500 0.1746
0.3675 0.7500 0.2541
0.3736 0.7500 0.0968
0.3751 0.7500 0.7160
0.3745 0.7500 0.7900
0.3753 0.7500 0.8641
0.3763 0.7500 0.0189
0.3762 0.7500 0.9409
0.6238 0.2500 0.0591
0.6237 0.2500 0.9811
0.6247 0.2500 0.1359
0.6255 0.2500 0.2100
0.6249 0.2500 0.2840
0.6264 0.2500 0.9032
0.6325 0.2500 0.7459
0.6326 0.2500 0.8254
0.8735 0.7500 0.0197
0.8737 0.7500 0.9430
0.8754 0.7500 0.7850
0.8745 0.7500 0.8653
0.8764 0.7500 0.0965
0.8825 0.7500 0.1742
0.8821 0.7500 0.2541
```

=====

ii | VASP calculation (GGA-PBE) on an optimized crystal structure of CdPt15.

Calculated volume: 807.4 Å³/cell
Space-group type: P2_1/m

The structure in POSCAR format:
```
CdPt15
1.0
5.5649 0.0000 0.0000
0.0000 3.9346 0.0000
-0.0130 0.0000 36.8746
Cd Pt
2 30
direct
0.1251 0.2500 0.2965
0.8749 0.7500 0.7035
0.1224 0.2500 0.8258
0.1241 0.2500 0.7472
0.1243 0.2500 0.9034
0.1253 0.2500 0.0577
0.1250 0.2500 0.1352
0.1250 0.2500 0.2142
0.1254 0.2500 0.9807
0.3723 0.7500 0.1742
0.3742 0.7500 0.0966
0.3740 0.7500 0.2528
0.3753 0.7500 0.0191
0.3751 0.7500 0.7137
0.3747 0.7500 0.7888
0.3749 0.7500 0.8648
0.3753 0.7500 0.9417
0.6247 0.2500 0.0583
0.6251 0.2500 0.1352
0.6253 0.2500 0.2112
0.6249 0.2500 0.2863
0.6247 0.2500 0.9809
0.6260 0.2500 0.7472
0.6258 0.2500 0.9034
0.6277 0.2500 0.8258
0.8746 0.7500 0.0193
0.8750 0.7500 0.7858
0.8750 0.7500 0.8648
0.8747 0.7500 0.9423
0.8757 0.7500 0.0966
0.8759 0.7500 0.2528
0.8776 0.7500 0.1742
```

=====

iii | VASP calculation (GGA-PBE) on an optimized crystal structure of CdPt15.

Calculated volume: 711.1 Å³/cell
Space-group type: Pmma

The structure in POSCAR format:
```
CdPt15
1.0
3.9531 0.0000 0.0000
0.0000 3.9510 0.0000
0.0000 0.0000 45.5286
Cd Pt
2 30
direct
0.2500 0.0000 0.1620
0.7500 0.0000 0.8380
0.2500 0.0000 0.2583
0.2500 0.0000 0.3454
0.2500 0.0000 0.4339
0.2500 0.0000 0.5220
0.2500 0.0000 0.6104
0.2500 0.0000 0.6983
0.2500 0.0000 0.7862
0.2500 0.5000 0.2138
0.2500 0.5000 0.3017
0.2500 0.5000 0.3896
0.2500 0.5000 0.4779
0.2500 0.5000 0.5663
0.2500 0.5000 0.6543
0.2500 0.5000 0.7427
0.2500 0.5000 0.8278
0.7500 0.0000 0.2138
0.7500 0.0000 0.3017
0.7500 0.0000 0.3896
0.7500 0.0000 0.4780
0.7500 0.0000 0.5661
0.7500 0.0000 0.6546
0.7500 0.0000 0.7417
0.7500 0.5000 0.1722
0.7500 0.5000 0.2573
0.7500 0.5000 0.3457
0.7500 0.5000 0.4337
0.7500 0.5000 0.5221
0.7500 0.5000 0.6104
0.7500 0.5000 0.6983
0.7500 0.5000 0.7862
```

=====

On energetic grounds, iii is preferred over the next structure by 0.036 eV/atom.